a | Entry from Alexandria via LeMat-Bulk: a geometry-optimized LaAlW structure (PBEsol).

Cell and atoms, written as POSCAR:
```
LaAlW
1.0
4.785 0.000 0.000
2.392 4.144 0.000
2.392 1.381 3.907
W La Al
1 1 1
Cartesian
0.000 0.000 0.000
2.392 1.381 0.977
4.785 2.762 1.953
```

Calculated volume (Å³/cell): 77


b | Entry from Alexandria via LeMat-Bulk: a geometry-optimized LaAlW structure (PBEsol).

Cell and atoms, written as POSCAR:
```
LaAlW
1.0
2.872 0.000 0.000
0.000 2.872 0.000
-1.436 -1.436 7.220
La Al W
1 1 1
Cartesian
1.436 1.436 2.427
1.436 1.436 6.959
0.000 0.000 5.055
```

Calculated volume (Å³/cell): 60


Most stable to least stable, the ends of the list are b and a.


a | Entry from Alexandria via LeMat-Bulk: a geometry-optimized LaAlW structure (PBEsol).

Cell and atoms, written as POSCAR:
```
LaAlW
1.0
-0.090 2.792 -1.681
-3.627 0.352 0.780
3.064 1.112 4.845
W La Al
1 1 1
Cartesian
0.900 2.003 3.279
-1.448 2.485 1.044
-0.757 4.025 3.565
```

Calculated volume (Å³/cell): 64


b | Entry from Alexandria via LeMat-Bulk: a geometry-optimized LaAlW structure (PBEsol).

Cell and atoms, written as POSCAR:
```
LaAlW
1.0
2.950 0.000 0.000
-1.475 2.555 0.000
0.000 0.000 7.908
Al W La
1 1 1
Cartesian
0.000 0.000 0.247
1.475 0.852 2.404
0.000 1.703 5.256
```

Calculated volume (Å³/cell): 60


Most stable to least stable, the ends of the list are a and b.